1.
Entry from Alexandria via LeMat-Bulk: a geometry-optimized Pu6P5F structure (PBE).

Cell and atoms, written as POSCAR:
```
Pu6P5F
1.0
3.4364 -5.9498 0.0000
3.4364 5.9498 0.0000
-2.3031 0.0000 6.4879
Pu P F
6 5 1
Cartesian
-0.0317 1.9465 4.8434 Pu
1.1069 0.0000 1.6207 Pu
-0.0317 -1.9465 4.8434 Pu
4.6015 1.9465 1.6445 Pu
3.4628 0.0000 4.8672 Pu
4.6015 -1.9465 1.6445 Pu
3.4364 3.9127 0.0000 P
2.2849 1.9760 3.2439 P
3.4364 0.0000 0.0000 P
2.2849 -1.9760 3.2439 P
3.4364 -3.9127 0.0000 P
-1.1515 0.0000 3.2439 F
```

Summary:
M_tot   31.5 μB/f.u.
E_tot   -10.905 eV per atom
Crystal system   monoclinic
Formation energy (no corrections)   -1329 meV per atom

***

2.
Entry from Alexandria via LeMat-Bulk: a geometry-optimized Pa7Ga2Re2 structure (PBE).

Cell and atoms, written as POSCAR:
```
Pa7Ga2Re2
1.0
4.0505 -5.1038 0.0000
4.0505 5.1038 0.0000
0.0000 0.0000 6.5672
Pa Ga Re
7 2 2
Cartesian
0.0000 0.0000 0.0000 Pa
2.0252 2.5519 1.8862 Pa
2.0252 2.5519 4.6810 Pa
2.0252 -2.5519 1.8862 Pa
2.0252 -2.5519 4.6810 Pa
4.0505 0.0000 1.8548 Pa
4.0505 0.0000 4.7123 Pa
1.2466 0.0000 3.2836 Ga
6.8544 0.0000 3.2836 Ga
4.0505 2.2600 0.0000 Re
4.0505 -2.2600 0.0000 Re
```

Summary:
M_tot   0.0 μB/f.u.
E_tot   -8.749 eV per atom
Crystal system   orthorhombic
Formation energy from the elements   0.108 eV per atom

***

3.
Entry from Alexandria via LeMat-Bulk: a geometry-optimized Sc2FeW structure (PBE).

Cell and atoms, written as POSCAR:
```
Sc2FeW
1.0
-2.0320 2.0320 4.2824
2.0320 -2.0320 4.2824
2.0320 2.0320 -4.2824
Sc Fe W
2 1 1
Cartesian
0.0000 0.0000 0.0000 Sc
0.0000 2.0320 2.1412 Sc
0.0000 0.0000 4.2824 Fe
2.0320 0.0000 2.1412 W
```

Summary:
M_tot   2.9 μB/f.u.
E_tot   -8.150 eV per atom
Crystal system   tetragonal
Formation energy from the elements   0.370 eV per atom

***

Q: Which of these has the lowest E_tot?
A: Pu6P5F